Entry 1:
## HoPPtO (PBE)

Data for HoPPtO after structural relaxation.

Summary:
The symmetry is P4/nmm. The value obtained for the offset from the most stable computed form is 0.0 kJ/mol of formula units.

Lattice parameters (Å, degrees): 4.0821 4.0821 7.6983 90.00 90.00 90.00
Last column: nearest neighbours and their distance in Å.
Sites, in units of the cell vectors:
1 Pt 0.0000 0.5000 0.5000  4 P 2.41
2 O 0.0000 0.5000 0.0000  4 Ho 2.27
3 O 0.5000 0.0000 0.0000  4 Ho 2.27
4 P 0.0000 0.0000 0.6665  4 Pt 2.41
5 Ho 0.0000 0.0000 0.1305  4 O 2.27
6 P 0.5000 0.5000 0.3335  4 Pt 2.41
7 Ho 0.5000 0.5000 0.8696  4 O 2.27
8 Pt 0.5000 0.0000 0.5000  4 P 2.41

Entry 2:
## HoPPtO (PBE)

Data for HoPPtO after structural relaxation.

Summary:
The symmetry is P4/nmm. The value obtained for the offset from the most stable computed form is 324.7 kJ/mol of formula units.

Lattice parameters (Å, degrees): 5.6832 5.6832 4.4486 90.00 90.00 90.00
Last column: nearest neighbours and their distance in Å.
Sites, in units of the cell vectors:
1 O 0.5000 0.5000 0.0000  2 Ho 2.22
2 Pt 0.0000 0.5000 0.9972  2 P 2.22
3 P 0.5000 0.0000 0.5027  2 Pt 2.22
4 O 0.0000 0.0000 0.0000  2 Ho 2.22
5 Pt 0.5000 0.0000 0.0028  2 P 2.22
6 P 0.0000 0.5000 0.4973  2 Pt 2.22
7 Ho 0.0000 0.0000 0.5000  2 O 2.22
8 Ho 0.5000 0.5000 0.5000  2 O 2.22

Entry 3:
## HoPPtO (PBE)

Data for HoPPtO after structural relaxation.

Summary:
The symmetry is Pmc2_1. The value obtained for the offset from the most stable computed form is 174.9 kJ/mol of formula units.

Lattice parameters (Å, degrees): 3.5233 7.5673 5.5026 90.00 90.00 90.00
Last column: nearest neighbours and their distance in Å.
Sites, in units of the cell vectors:
1 P 0.0000 0.5855 0.9403  2 Pt 2.26
2 P 0.0000 0.4145 0.4403  2 Pt 2.26
3 Pt 0.5000 0.7727 0.9389  1 O 2.23, 2 P 2.26
4 Pt 0.5000 0.2273 0.4389  1 O 2.23, 2 P 2.26
5 Ho 0.0000 0.2157 0.9406  2 O 2.09
6 O 0.5000 0.9328 0.4342  2 Ho 2.09, 1 Pt 2.23
7 Ho 0.0000 0.7843 0.4406  2 O 2.09
8 O 0.5000 0.0672 0.9342  2 Ho 2.09, 1 Pt 2.23

Entry 4:
## RbHoPO (PBE)

Data for RbHoPO after structural relaxation.

Summary:
The symmetry is P4/mmm. The value obtained for the offset from the most stable computed form is 222.9 kJ/mol of formula units.

Lattice parameters (Å, degrees): 5.7452 5.7452 5.1538 90.00 90.00 90.00
Last column: nearest neighbours and their distance in Å.
Sites, in units of the cell vectors:
1 O 0.5000 0.5000 0.0000  2 Ho 2.58, 4 Rb 2.87
2 Rb 0.0000 0.5000 0.0005  2 P 2.58, 4 O 2.87
3 Ho 0.5000 0.5000 0.5000  2 O 2.58, 4 P 2.87
4 P 0.5000 0.0000 0.4994  2 Rb 2.58, 4 Ho 2.87
5 P 0.0000 0.5000 0.5006  2 Rb 2.58, 4 Ho 2.87
6 O 0.0000 0.0000 0.0000  2 Ho 2.58, 4 Rb 2.87
7 Rb 0.5000 0.0000 0.9995  2 P 2.58, 4 O 2.87
8 Ho 0.0000 0.0000 0.5000  2 O 2.58, 4 P 2.87

Entry 5:
## RbHoPO (PBE)

Data for RbHoPO after structural relaxation.

Summary:
The symmetry is P4/nmm. The value obtained for the offset from the most stable computed form is 222.1 kJ/mol of formula units.

Lattice parameters (Å, degrees): 5.7749 5.7749 5.1470 90.00 90.00 90.00
Last column: nearest neighbours and their distance in Å.
Sites, in units of the cell vectors:
1 Ho 0.7500 0.2500 0.5000  2 O 2.57
2 Rb 0.7500 0.7500 0.0024  2 P 2.57
3 O 0.2500 0.7500 0.0000  2 Ho 2.57
4 P 0.2500 0.2500 0.4976  2 Rb 2.57
5 Rb 0.2500 0.2500 0.9976  2 P 2.57
6 P 0.7500 0.7500 0.5024  2 Rb 2.57
7 Ho 0.2500 0.7500 0.5000  2 O 2.57
8 O 0.7500 0.2500 0.0000  2 Ho 2.57

Entry 6:
## RbHoPO (PBE)

Data for RbHoPO after structural relaxation.

Summary:
The symmetry is Pmc2_1. The value obtained for the offset from the most stable computed form is 24.7 kJ/mol of formula units.

Lattice parameters (Å, degrees): 4.7329 8.0493 6.6595 90.00 90.00 90.00
Last column: nearest neighbours and their distance in Å.
Sites, in units of the cell vectors:
1 Ho 0.0000 0.3752 0.0248  2 O 2.09-2.11
2 Rb 0.5000 0.7927 0.9502  2 O 3.00, 1 P 3.27
3 P 0.5000 0.7869 0.4417  2 Ho 2.76
4 O 0.0000 0.4169 0.3373  2 Ho 2.09-2.11
5 Rb 0.5000 0.2073 0.4502  2 O 3.00, 1 P 3.27
6 Ho 0.0000 0.6248 0.5248  2 O 2.09-2.11
7 O 0.0000 0.5831 0.8373  2 Ho 2.09-2.11
8 P 0.5000 0.2131 0.9417  2 Ho 2.76

Entry 7:
## RbHoPO (PBE)

Data for RbHoPO after structural relaxation.

Summary:
The symmetry is P4/nmm. The value obtained for the offset from the most stable computed form is 89.4 kJ/mol of formula units.

Lattice parameters (Å, degrees): 4.0967 4.0967 10.6036 90.00 90.00 90.00
Last column: nearest neighbours and their distance in Å.
Sites, in units of the cell vectors:
1 Ho 0.2500 0.2500 0.0917  4 O 2.27
2 O 0.7500 0.2500 0.0000  4 Ho 2.27
3 P 0.2500 0.2500 0.7371  4 Rb 3.24, 4 Ho 3.42, 4 O 3.46
4 P 0.7500 0.7500 0.2629  4 Rb 3.24, 4 Ho 3.42, 4 O 3.46
5 Rb 0.2500 0.7500 0.5000  4 Rb 2.90, 4 P 3.24
6 Ho 0.7500 0.7500 0.9083  4 O 2.27
7 O 0.2500 0.7500 0.0000  4 Ho 2.27
8 Rb 0.7500 0.2500 0.5000  4 Rb 2.90, 4 P 3.24

Entry 8:
## RbHoPO (PBE)

Data for RbHoPO after structural relaxation.

Summary:
The symmetry is Pmc2_1. The value obtained for the offset from the most stable computed form is 0.0 kJ/mol of formula units.

Lattice parameters (Å, degrees): 3.4407 7.9091 7.8337 90.00 90.00 90.00
Last column: nearest neighbours and their distance in Å.
Sites, in units of the cell vectors:
1 O 0.5000 0.7499 0.8855  2 Ho 2.09
2 Rb 0.5000 0.5542 0.5960  2 O 2.75-2.92
3 P 0.0000 0.8043 0.3104  2 Ho 2.77-2.79
4 Rb 0.5000 0.4458 0.0960  2 O 2.75-2.92
5 Ho 0.0000 0.8788 0.9621  2 O 2.09
6 Ho 0.0000 0.1212 0.4621  2 O 2.09
7 P 0.0000 0.1957 0.8104  2 Ho 2.77-2.79
8 O 0.5000 0.2501 0.3855  2 Ho 2.09

Entry 9:
## HoRePO (PBE)

Data for HoRePO after structural relaxation.

Summary:
The symmetry is P4/nmm. The value obtained for the offset from the most stable computed form is 0.0 kJ/mol of formula units.

Lattice parameters (Å, degrees): 3.9073 3.9073 8.2592 90.00 90.00 90.00
Last column: nearest neighbours and their distance in Å.
Sites, in units of the cell vectors:
1 Ho 0.5000 0.5000 0.8684  4 O 2.24
2 O 0.0000 0.5000 0.0000  4 Ho 2.24
3 Re 0.0000 0.5000 0.5000  4 P 2.41
4 P 0.5000 0.5000 0.3285  4 Re 2.41
5 Ho 0.0000 0.0000 0.1316  4 O 2.24
6 O 0.5000 0.0000 0.0000  4 Ho 2.24
7 P 0.0000 0.0000 0.6715  4 Re 2.41
8 Re 0.5000 0.0000 0.5000  4 P 2.41

Entry 10:
## HoRePO (PBE)

Data for HoRePO after structural relaxation.

Summary:
The symmetry is P4/nmm. The value obtained for the offset from the most stable computed form is 675.8 kJ/mol of formula units.

Lattice parameters (Å, degrees): 4.3025 4.3025 6.4860 90.00 90.00 90.00
Last column: nearest neighbours and their distance in Å.
Sites, in units of the cell vectors:
1 Ho 0.5000 0.0000 0.5000  4 P 2.77, 4 Ho 3.04
2 Re 0.5000 0.5000 0.8706  4 O 2.31, 1 P 2.33
3 Ho 0.0000 0.5000 0.5000  4 P 2.77, 4 Ho 3.04
4 O 0.5000 0.0000 0.0000  4 Re 2.31
5 P 0.5000 0.5000 0.2306  1 Re 2.33
6 O 0.0000 0.5000 0.0000  4 Re 2.31
7 P 0.0000 0.0000 0.7694  1 Re 2.33
8 Re 0.0000 0.0000 0.1294  4 O 2.31, 1 P 2.33

Entry 11:
## HoRePO (PBE)

Data for HoRePO after structural relaxation.

Summary:
The symmetry is Pmc2_1. The value obtained for the offset from the most stable computed form is 270.0 kJ/mol of formula units.

Lattice parameters (Å, degrees): 3.9632 6.1061 5.5164 90.00 90.00 90.00
Last column: nearest neighbours and their distance in Å.
Sites, in units of the cell vectors:
1 Re 0.5000 0.9453 0.1008  2 O 2.07-2.08
2 P 0.0000 0.1807 0.3744  2 Re 2.47
3 O 0.5000 0.2402 0.9172  2 Re 2.07-2.08, 2 Ho 2.10
4 P 0.0000 0.8193 0.8744  2 Re 2.47
5 Ho 0.0000 0.3408 0.8616  2 O 2.10
6 Re 0.5000 0.0547 0.6008  2 O 2.07-2.08
7 O 0.5000 0.7598 0.4172  2 Re 2.07-2.08, 2 Ho 2.10
8 Ho 0.0000 0.6592 0.3616  2 O 2.10

Entry 12:
## HoRePO (PBE)

Data for HoRePO after structural relaxation.

Summary:
The symmetry is Pmc2_1. The value obtained for the offset from the most stable computed form is 180.6 kJ/mol of formula units.

Lattice parameters (Å, degrees): 4.3626 4.4145 6.1884 90.00 90.00 90.00
Last column: nearest neighbours and their distance in Å.
Sites, in units of the cell vectors:
1 O 0.5000 0.8471 0.4340  2 Re 2.18, 2 Ho 2.24-2.27
2 P 0.0000 0.6485 0.7904  3 Re 2.35-2.41
3 O 0.5000 0.1529 0.9340  2 Re 2.18, 2 Ho 2.24-2.27
4 Re 0.0000 0.8547 0.4395  2 O 2.18, 3 P 2.35-2.41
5 P 0.0000 0.3515 0.2904  3 Re 2.35-2.41
6 Ho 0.5000 0.3124 0.5901  2 O 2.24-2.27
7 Ho 0.5000 0.6876 0.0901  2 O 2.24-2.27
8 Re 0.0000 0.1453 0.9395  2 O 2.18, 3 P 2.35-2.41

Entry 13:
## HoSbPO (PBE)

Data for HoSbPO after structural relaxation.

Summary:
The symmetry is Pmc2_1. The value obtained for the offset from the most stable computed form is 32.3 kJ/mol of formula units.

Lattice parameters (Å, degrees): 4.3204 5.9304 6.0776 90.00 90.00 90.00
Last column: nearest neighbours and their distance in Å.
Sites, in units of the cell vectors:
1 O 0.0000 0.4361 0.3989  2 Sb 2.24, 2 Ho 2.29-2.30
2 P 0.5000 0.0733 0.7925  2 Sb 2.63-2.91, 2 Ho 2.93
3 Sb 0.5000 0.3788 0.4792  2 O 2.24
4 P 0.5000 0.9267 0.2925  2 Sb 2.63-2.91, 2 Ho 2.93
5 Ho 0.0000 0.2253 0.0834  2 O 2.29-2.30
6 Sb 0.5000 0.6212 0.9792  2 O 2.24
7 Ho 0.0000 0.7747 0.5834  2 O 2.29-2.30
8 O 0.0000 0.5639 0.8989  2 Sb 2.24, 2 Ho 2.29-2.30

Entry 14:
## HoSbPO (PBE)

Data for HoSbPO after structural relaxation.

Summary:
The symmetry is Pmc2_1. The value obtained for the offset from the most stable computed form is 21.6 kJ/mol of formula units.

Lattice parameters (Å, degrees): 3.6639 6.5955 7.0683 90.00 90.00 90.00
Last column: nearest neighbours and their distance in Å.
Sites, in units of the cell vectors:
1 Sb 0.5000 0.7836 0.5424  1 O 2.22
2 P 0.0000 0.8935 0.2998  2 Sb 2.61, 2 Ho 2.80-2.85
3 O 0.5000 0.5433 0.9667  2 Ho 2.12, 1 Sb 2.22
4 Ho 0.0000 0.7033 0.9451  2 O 2.12
5 O 0.5000 0.4567 0.4667  2 Ho 2.12, 1 Sb 2.22
6 P 0.0000 0.1065 0.7998  2 Sb 2.61, 2 Ho 2.80-2.85
7 Sb 0.5000 0.2164 0.0424  1 O 2.22
8 Ho 0.0000 0.2967 0.4451  2 O 2.12

Entry 15:
## HoSbPO (PBE)

Data for HoSbPO after structural relaxation.

Summary:
The symmetry is P4/nmm. The value obtained for the offset from the most stable computed form is 0.0 kJ/mol of formula units.

Lattice parameters (Å, degrees): 4.0211 4.0211 9.9909 90.00 90.00 90.00
Last column: nearest neighbours and their distance in Å.
Sites, in units of the cell vectors:
1 Sb 0.5000 0.5000 0.5000  4 Sb 2.84, 4 P 3.05
2 Sb 0.0000 0.0000 0.5000  4 Sb 2.84, 4 P 3.05
3 O 0.5000 0.5000 0.0000  4 Ho 2.26
4 P 0.5000 0.0000 0.2704  4 Sb 3.05, 4 Ho 3.30, 4 O 3.37
5 P 0.0000 0.5000 0.7296  4 Sb 3.05, 4 Ho 3.30, 4 O 3.37
6 Ho 0.5000 0.0000 0.8974  4 O 2.26
7 Ho 0.0000 0.5000 0.1026  4 O 2.26
8 O 0.0000 0.0000 0.0000  4 Ho 2.26

Entry 16:
## HoSbPO (PBE)

Data for HoSbPO after structural relaxation.

Summary:
The symmetry is P4/nmm. The value obtained for the offset from the most stable computed form is 130.5 kJ/mol of formula units.

Lattice parameters (Å, degrees): 5.4128 5.4128 5.2366 90.00 90.00 90.00
Last column: nearest neighbours and their distance in Å.
Sites, in units of the cell vectors:
1 Sb 0.5000 0.0000 0.9971  2 P 2.62, 4 O 2.71
2 O 0.0000 0.0000 0.0000  2 Ho 2.62, 4 Sb 2.71
3 Ho 0.5000 0.5000 0.5000  2 O 2.62, 4 P 2.71
4 P 0.5000 0.0000 0.4971  2 Sb 2.62, 4 Ho 2.71
5 Ho 0.0000 0.0000 0.5000  2 O 2.62, 4 P 2.71
6 P 0.0000 0.5000 0.5029  2 Sb 2.62, 4 Ho 2.71
7 Sb 0.0000 0.5000 0.0029  2 P 2.62, 4 O 2.71
8 O 0.5000 0.5000 0.0000  2 Ho 2.62, 4 Sb 2.71

Entry 17:
## HoSnPO5 (PBE)

Data for HoSnPO5 after structural relaxation.

Summary:
The symmetry is P-1. For the electronic total energy, the calculation gives -7.376 eV per atom.

Lattice parameters (Å, degrees): 5.4920 6.7263 7.0268 109.90 110.79 94.95
Last column: nearest neighbours and their distance in Å.
Sites, in units of the cell vectors:
1 P 0.8281 0.8298 0.1168  4 O 1.54-1.56
2 O 0.3952 0.2032 0.1113  1 P 1.56
3 Sn 0.5697 0.7703 0.5345  3 O 2.18-2.37
4 O 0.2341 0.4988 0.4663  2 Sn 2.18-2.27, 2 Ho 2.19-2.32
5 O 0.6048 0.7968 0.8887  1 P 1.56
6 O 0.0721 0.7491 0.0867  1 P 1.54
7 Ho 0.1751 0.6257 0.7940  6 O 2.19-2.32
8 O 0.7659 0.5012 0.5337  2 Sn 2.18-2.27, 2 Ho 2.19-2.32
9 O 0.2998 0.3147 0.7951  1 P 1.56
10 Ho 0.8249 0.3743 0.2060  6 O 2.19-2.32
11 O 0.7002 0.6853 0.2049  1 P 1.56
12 P 0.1719 0.1702 0.8832  4 O 1.54-1.56
13 O 0.9279 0.2509 0.9133  1 P 1.54
14 O 0.9115 0.0724 0.2734  1 P 1.54
15 Sn 0.4303 0.2297 0.4655  3 O 2.18-2.37
16 O 0.0885 0.9276 0.7266  1 P 1.54

Entry 18:
## SrHoPO (PBE)

Data for SrHoPO after structural relaxation.

Summary:
The symmetry is P4/nmm. The value obtained for the offset from the most stable computed form is 20.3 kJ/mol of formula units.

Lattice parameters (Å, degrees): 5.4048 5.4048 5.6785 90.00 90.00 90.00
Last column: nearest neighbours and their distance in Å.
Sites, in units of the cell vectors:
1 O 0.0000 0.0000 0.0000  4 Sr 2.70, 2 Ho 2.84
2 P 0.5000 0.0000 0.5051  4 Ho 2.70, 2 Sr 2.83-2.85
3 Ho 0.5000 0.5000 0.5000  4 P 2.70, 2 O 2.84
4 Sr 0.0000 0.5000 0.9960  4 O 2.70, 2 P 2.83-2.85
5 Sr 0.5000 0.0000 0.0040  4 O 2.70, 2 P 2.83-2.85
6 P 0.0000 0.5000 0.4949  4 Ho 2.70, 2 Sr 2.83-2.85
7 O 0.5000 0.5000 0.0000  4 Sr 2.70, 2 Ho 2.84
8 Ho 0.0000 0.0000 0.5000  4 P 2.70, 2 O 2.84

Entry 19:
## SrHoPO (PBE)

Data for SrHoPO after structural relaxation.

Summary:
The symmetry is P4/nmm. The value obtained for the offset from the most stable computed form is 120.4 kJ/mol of formula units.

Lattice parameters (Å, degrees): 4.3483 4.3483 9.0294 90.00 90.00 90.00
Last column: nearest neighbours and their distance in Å.
Sites, in units of the cell vectors:
1 P 0.2500 0.2500 0.7156  4 Sr 2.92
2 O 0.7500 0.2500 0.0000  4 Ho 2.31
3 Sr 0.7500 0.2500 0.5000  4 P 2.92, 4 Sr 3.07
4 O 0.2500 0.7500 0.0000  4 Ho 2.31
5 Ho 0.7500 0.7500 0.9132  4 O 2.31
6 Ho 0.2500 0.2500 0.0868  4 O 2.31
7 P 0.7500 0.7500 0.2844  4 Sr 2.92
8 Sr 0.2500 0.7500 0.5000  4 P 2.92, 4 Sr 3.07

Entry 20:
## SrHoPO (PBE)

Data for SrHoPO after structural relaxation.

Summary:
The symmetry is Pmc2_1. The value obtained for the offset from the most stable computed form is 0.0 kJ/mol of formula units.

Lattice parameters (Å, degrees): 4.0241 6.5941 7.0363 90.00 90.00 90.00
Last column: nearest neighbours and their distance in Å.
Sites, in units of the cell vectors:
1 Sr 0.5000 0.0505 0.5981  2 O 2.45-2.58
2 Sr 0.5000 0.9495 0.0981  2 O 2.45-2.58
3 P 0.0000 0.2337 0.3221  2 Ho 2.70-2.78
4 O 0.5000 0.2662 0.8816  2 Ho 2.20, 1 Sr 2.45
5 P 0.0000 0.7663 0.8221  2 Ho 2.70-2.78
6 Ho 0.0000 0.3804 0.9522  2 O 2.20
7 O 0.5000 0.7338 0.3816  2 Ho 2.20, 1 Sr 2.45
8 Ho 0.0000 0.6196 0.4522  2 O 2.20

no.,V (Å³/cell)
1,128
2,144
3,147
4,170
5,172
6,254
7,178
8,213
9,126
10,120
11,133
12,119
13,156
14,171
15,162
16,153
17,222
18,166
19,171
20,187